GGA-PBE Ce6Tl2Rh, optimized geometry; ΔE_f = -0.265 eV/atom; DOS(E_F) = 26.96 states/eV/cell; spin magnetization = 4.19 μB per formula unit
1.0
-2.9970 -0.0813 2.0091
-1.0780 -8.5626 -1.9545
4.7234 2.3476 7.1409
Ce Rh Tl
6 1 2
direct
0.5000 0.3865 0.3864
0.5000 0.6112 0.0000
0.0000 0.2502 0.0000
0.0000 0.7511 0.7509
0.5000 0.0001 0.6136
0.0000 0.0001 0.2491
0.5000 0.0002 0.0000
0.0000 0.6673 0.3341
0.0000 0.3333 0.6659

GGA-PBE Be17Ru3, optimized geometry; ΔE_f = -0.288 eV/atom; DOS(E_F) = 9.82 states/eV/cell; spin magnetization = 0.00 μB per formula unit
1.0
9.8070 0.0000 0.0000
-3.2690 9.2462 0.0000
-3.2690 -4.6231 8.0074
Be Ru
68 12
direct
0.9126 0.7722 0.4572
0.3250 0.0936 0.2315
0.0000 0.3299 0.0000
0.4046 0.0555 0.6510
0.8596 0.0874 0.5446
0.9126 0.4554 0.1404
0.6750 0.9064 0.7685
0.4572 0.9126 0.7722
0.7722 0.8596 0.3150
0.1379 0.9064 0.2315
0.8621 0.0936 0.7685
0.7536 0.3490 0.4046
0.3299 0.0000 0.0000
0.4030 0.0000 0.4030
0.0000 0.6701 0.0000
0.0874 0.5446 0.8596
0.0000 0.0000 0.6701
0.2278 0.1404 0.6850
0.3150 0.4554 0.5428
0.5000 0.3055 0.8055
0.0874 0.2278 0.5428
0.7722 0.4572 0.9126
0.9064 0.2315 0.1379
0.6701 0.0000 0.0000
0.9445 0.3490 0.5954
0.0555 0.6510 0.4046
0.5970 0.0000 0.5970
0.1404 0.9126 0.4554
0.6510 0.5954 0.2464
0.6850 0.5446 0.4572
0.8596 0.3150 0.7722
0.6850 0.2278 0.1404
0.8055 0.5000 0.3055
0.0000 0.4030 0.4030
0.1945 0.5000 0.6945
0.5446 0.4572 0.6850
0.4046 0.7536 0.3490
0.5446 0.8596 0.0874
0.5970 0.5970 0.0000
0.7685 0.6750 0.9064
0.4554 0.5428 0.3150
0.3490 0.4046 0.7536
0.9064 0.7685 0.6750
0.5954 0.2464 0.6510
0.4554 0.1404 0.9126
0.3299 0.3299 0.3299
0.6945 0.1945 0.5000
0.2315 0.1379 0.9064
0.3490 0.5954 0.9445
0.0000 0.0000 0.3299
0.4572 0.6850 0.5446
0.5954 0.9445 0.3490
0.5428 0.3150 0.4554
0.5428 0.0874 0.2278
0.6701 0.6701 0.6701
0.2315 0.3250 0.0936
0.2464 0.6510 0.5954
0.7685 0.8621 0.0936
0.0000 0.5970 0.5970
0.0936 0.2315 0.3250
0.6510 0.4046 0.0555
0.5000 0.6945 0.1945
0.3055 0.8055 0.5000
0.0936 0.7685 0.8621
0.4030 0.4030 0.0000
0.1404 0.6850 0.2278
0.2278 0.5428 0.0874
0.3150 0.7722 0.8596
0.5110 0.6989 0.8120
0.4890 0.3011 0.1880
0.6989 0.1880 0.8869
0.1880 0.8869 0.6989
0.3011 0.8120 0.1131
0.1131 0.3011 0.8120
0.1880 0.4890 0.3011
0.8120 0.5110 0.6989
0.6989 0.8120 0.5110
0.8120 0.1131 0.3011
0.8869 0.6989 0.1880
0.3011 0.1880 0.4890

GGA-PBE LiCeAsO5, optimized geometry; DOS(E_F) = 0.00 states/eV/cell; electronic total energy = -6.91 eV per atom; spin magnetization = 0.00 μB per formula unit
1.0
5.9484 0.7699 -0.1087
-1.0001 5.9141 -0.1087
-2.1708 -2.9321 7.1082
O Li As Ce
10 2 2 2
direct
0.2595 0.7458 0.5750
0.0899 0.9101 0.2500
0.6811 0.6800 0.3429
0.3189 0.3200 0.6571
0.3200 0.3189 0.1571
0.7405 0.2542 0.4250
0.9101 0.0899 0.7500
0.2542 0.7405 0.9250
0.6800 0.6811 0.8429
0.7458 0.2595 0.0750
0.6828 0.3172 0.7500
0.3172 0.6828 0.2500
0.3708 0.6292 0.7500
0.6292 0.3708 0.2500
0.0000 0.0000 0.0000
0.0000 0.0000 0.5000

GGA-PBE YSe3, optimized geometry; DOS(E_F) = 2.76 states/eV/cell; electronic total energy = -5.17 eV per atom; spin magnetization = 0.00 μB per formula unit
1.0
-0.5939 -3.3474 4.3601
-1.2664 -5.2672 1.1051
4.7419 -1.5574 -0.0611
Se Y
3 1
direct
0.5000 0.5000 0.5000
0.6958 0.6958 0.8010
0.3042 0.3042 0.1990
0.0000 0.0000 0.0000

GGA-PBE NaLiU2S6, optimized geometry; DOS(E_F) = 6.48 states/eV/cell; electronic total energy = -6.28 eV per atom; spin magnetization = 2.00 μB per formula unit
1.0
-0.2406 -2.1654 -6.4372
2.9497 -5.8755 -1.7212
-4.2642 -5.6213 -1.5372
S Li U Na
6 1 2 1
direct
0.7419 0.1531 0.7397
0.1531 0.3653 0.7396
0.2474 0.8977 0.2346
0.6203 0.2474 0.2346
0.3653 0.7419 0.7396
0.8978 0.6203 0.2347
0.3191 0.3191 0.0429
0.5110 0.5110 0.4671
0.0051 0.0051 0.9847
0.8007 0.8007 0.5978

GGA-PBE Nd3GaIr2, optimized geometry; ΔE_f = -0.638 eV/atom; DOS(E_F) = 17.39 states/eV/cell; spin magnetization = 0.00 μB per formula unit
1.0
4.0327 0.0000 0.0000
0.0000 12.2325 0.0000
0.0000 0.0000 12.1128
Nd Ga Ir
12 4 8
direct
0.2500 0.1222 0.5579
0.2500 0.4313 0.3702
0.7500 0.9313 0.1298
0.2500 0.8189 0.6973
0.2500 0.6811 0.1973
0.7500 0.8778 0.4421
0.7500 0.3189 0.8027
0.2500 0.0687 0.8702
0.2500 0.3778 0.0579
0.7500 0.5687 0.6298
0.7500 0.1811 0.3027
0.7500 0.6222 0.9421
0.2500 0.3705 0.6220
0.2500 0.1295 0.1220
0.7500 0.6295 0.3780
0.7500 0.8705 0.8780
0.7500 0.1896 0.0122
0.2500 0.0137 0.3103
0.7500 0.5137 0.1897
0.7500 0.9863 0.6897
0.7500 0.3104 0.5122
0.2500 0.6896 0.4878
0.2500 0.8104 0.9878
0.2500 0.4863 0.8103

no.,density (Mg/m³)
1,9.136
2,4.175
3,3.978
4,5.464
5,4.783
6,9.859